1.
Compound: Sr2Sn3Pd2
Source: Alexandria via LeMat-Bulk
Functional: PBE-GGA
Structure: relaxed

```
data_Sr2Sn3Pd2
_chemical_formula_sum 'Sr2 Sn3 Pd2'
_cell_length_a 4.5262
_cell_length_b 6.1502
_cell_length_c 7.7685
_cell_angle_alpha 114.55
_cell_angle_beta 90.00
_cell_angle_gamma 111.59
_symmetry_space_group_name_H-M 'P 1'
_symmetry_Int_Tables_number 1
loop_
_symmetry_equiv_pos_as_xyz
'x,y,z'
loop_
_atom_site_label
_atom_site_fract_x
_atom_site_fract_y
_atom_site_fract_z
_atom_site_occupancy
Sn1 0.3693 0.7387 0.5523 1
Sn2 0.5000 0.0000 0.0000 1
Sn3 0.6307 0.2613 0.4477 1
Sr1 0.8551 0.7103 0.2166 1
Sr2 0.1449 0.2897 0.7834 1
Pd1 0.8679 0.7359 0.7775 1
Pd2 0.1321 0.2641 0.2225 1
```

ΔE to the lowest computed polymorph: 0.000 eV/atom
electronic total energy: -4.33 eV/atom
D(E_F): 0.48 states/eV/atom

2.
Compound: Ac8TePt3Br4
Source: Alexandria via LeMat-Bulk
Functional: PBE-GGA
Structure: relaxed

```
data_Ac8TePt3Br4
_chemical_formula_sum 'Ac8 Te1 Pt3 Br4'
_cell_length_a 9.1263
_cell_length_b 9.5643
_cell_length_c 9.1261
_cell_angle_alpha 118.49
_cell_angle_beta 120.00
_cell_angle_gamma 90.00
_symmetry_space_group_name_H-M 'P 1'
_symmetry_Int_Tables_number 1
loop_
_symmetry_equiv_pos_as_xyz
'x,y,z'
loop_
_atom_site_label
_atom_site_fract_x
_atom_site_fract_y
_atom_site_fract_z
_atom_site_occupancy
Ac1 0.2680 0.3039 0.5360 1
Ac2 0.7511 0.2898 0.0391 1
Ac3 0.7509 0.2897 0.5019 1
Ac4 0.2489 0.7102 0.9609 1
Ac5 0.7320 0.6961 0.4640 1
Ac6 0.2491 0.7103 0.4981 1
Ac7 0.7120 0.7102 0.9609 1
Ac8 0.2880 0.2898 0.0391 1
Pt1 0.5000 0.5000 0.0000 1
Pt2 0.0000 0.5000 0.5000 1
Pt3 0.5000 0.5000 0.5000 1
Br1 0.5000 0.0000 0.0000 1
Br2 0.5000 0.0000 0.5000 1
Br3 0.0000 0.0000 0.5000 1
Br4 0.0000 0.0000 0.0000 1
Te1 0.0000 0.5000 0.0000 1
```

raw formation energy: -1.29 eV per atom
electronic total energy: -5.09 eV/atom
D(E_F): 0.90 states/eV/atom

Look up the D(E_F) of the second one. 0.90 states/eV/atom

What is the formula in the first record? Sr2Sn3Pd2

Please write out number 2 again, unchanged.
Compound: Ac8TePt3Br4
Source: Alexandria via LeMat-Bulk
Functional: PBE-GGA
Structure: relaxed

```
data_Ac8TePt3Br4
_chemical_formula_sum 'Ac8 Te1 Pt3 Br4'
_cell_length_a 9.1263
_cell_length_b 9.5643
_cell_length_c 9.1261
_cell_angle_alpha 118.49
_cell_angle_beta 120.00
_cell_angle_gamma 90.00
_symmetry_space_group_name_H-M 'P 1'
_symmetry_Int_Tables_number 1
loop_
_symmetry_equiv_pos_as_xyz
'x,y,z'
loop_
_atom_site_label
_atom_site_fract_x
_atom_site_fract_y
_atom_site_fract_z
_atom_site_occupancy
Ac1 0.2680 0.3039 0.5360 1
Ac2 0.7511 0.2898 0.0391 1
Ac3 0.7509 0.2897 0.5019 1
Ac4 0.2489 0.7102 0.9609 1
Ac5 0.7320 0.6961 0.4640 1
Ac6 0.2491 0.7103 0.4981 1
Ac7 0.7120 0.7102 0.9609 1
Ac8 0.2880 0.2898 0.0391 1
Pt1 0.5000 0.5000 0.0000 1
Pt2 0.0000 0.5000 0.5000 1
Pt3 0.5000 0.5000 0.5000 1
Br1 0.5000 0.0000 0.0000 1
Br2 0.5000 0.0000 0.5000 1
Br3 0.0000 0.0000 0.5000 1
Br4 0.0000 0.0000 0.0000 1
Te1 0.0000 0.5000 0.0000 1
```

raw formation energy: -1.29 eV per atom
electronic total energy: -5.09 eV/atom
D(E_F): 0.90 states/eV/atom

What is the D(E_F) in the first record? 0.48 states/eV/atom